Model a:
Crystalline TlCrIr2 at its relaxed geometry. Source: Alexandria via LeMat-Bulk, functional PBE.

The structure belongs to space group P4/mmm (No. 123); the cell edges are 4.1649, 4.1649 and 3.7306 Å and the angles 90.00°, 90.00° and 90.00°. Symmetry generates all atoms from Tl at (0.0000, 0.0000, 0.0000), Cr at (0.5000, 0.5000, 0.0000) and Ir at (0.0000, 0.5000, 0.5000).

***

Model b:
Crystalline TlCrIr2 at its relaxed geometry. Source: Alexandria via LeMat-Bulk, functional PBE.

The structure belongs to space group Cm (No. 8); the cell edges are 9.2383, 2.9241 and 4.9355 Å and the angles 90.00°, 100.97° and 90.00°. Symmetry generates all atoms from Tl at (0.0000, 0.0000, 0.0000), Cr at (0.2394, 0.0000, 0.6857), Ir at (0.0026, 0.5000, 0.5114) and Ir at (0.2571, 0.5000, 0.2632).

***

Model c:
Crystalline TlCrIr2 at its relaxed geometry. Source: Alexandria via LeMat-Bulk, functional PBE.

The structure belongs to space group I4/mmm (No. 139); the cell edges are 4.1184, 4.1184 and 7.5217 Å and the angles 90.00°, 90.00° and 90.00°. Symmetry generates all atoms from Tl at (0.0000, 0.0000, 0.0000), Cr at (0.0000, 0.0000, 0.5000) and Ir at (0.0000, 0.5000, 0.2500).

***

Stability check: which of them is most stable? model c.

***

Model a:
Crystalline TlCrIr2 at its relaxed geometry. Source: Alexandria via LeMat-Bulk, functional PBE.

The structure belongs to space group C2/m (No. 12); the cell edges are 9.0248, 2.9077 and 5.0461 Å and the angles 90.00°, 101.18° and 90.00°. Symmetry generates all atoms from Tl at (0.0000, 0.0000, 0.0000), Cr at (0.0000, 0.5000, 0.5000) and Ir at (0.2382, 0.0000, 0.7176).

***

Model b:
Crystalline TlCrIr2 at its relaxed geometry. Source: Alexandria via LeMat-Bulk, functional PBE.

The structure belongs to space group Fm-3m (No. 225); the cell edges are 6.3751, 6.3751 and 6.3751 Å and the angles 90.00°, 90.00° and 90.00°. Symmetry generates all atoms from Tl at (0.0000, 0.0000, 0.0000), Cr at (0.0000, 0.0000, 0.5000) and Ir at (0.2500, 0.2500, 0.2500).

***

Model c:
Crystalline TlCrIr2 at its relaxed geometry. Source: Alexandria via LeMat-Bulk, functional PBE.

The structure belongs to space group F-43m (No. 216); the cell edges are 6.4106, 6.4106 and 6.4106 Å and the angles 90.00°, 90.00° and 90.00°. Symmetry generates all atoms from Tl at (0.0000, 0.0000, 0.0000), Cr at (0.2500, 0.2500, 0.7500), Ir at (0.0000, 0.0000, 0.5000) and Ir at (0.2500, 0.2500, 0.2500).

***

Model d:
Crystalline TlCrIr2 at its relaxed geometry. Source: Alexandria via LeMat-Bulk, functional PBE.

The structure belongs to space group Pmm2 (No. 25); the cell edges are 2.8768, 3.8759 and 5.8786 Å and the angles 90.00°, 90.00° and 90.00°. Symmetry generates all atoms from Tl at (0.0000, 0.0000, 0.0000), Cr at (0.5000, 0.5000, 0.3035), Ir at (0.0000, 0.0000, 0.4840) and Ir at (0.5000, 0.5000, 0.7375).

***

Stability check: which of them is most stable? model a.

***

Model a:
Crystalline TlCrIr2 at its relaxed geometry. Source: Alexandria via LeMat-Bulk, functional PBE.

The structure belongs to space group Cmmm (No. 65); the cell edges are 5.8927, 7.3793 and 2.9916 Å and the angles 90.00°, 90.00° and 90.00°. Symmetry generates all atoms from Tl at (0.0000, 0.0000, 0.0000), Cr at (0.0000, 0.5000, 0.0000) and Ir at (0.2500, 0.2500, 0.5000).

***

Model b:
Crystalline TlCrIr2 at its relaxed geometry. Source: Alexandria via LeMat-Bulk, functional PBE.

The structure belongs to space group P2/m (No. 10); the cell edges are 2.8972, 4.3463 and 5.4373 Å and the angles 90.00°, 105.21° and 90.00°. Symmetry generates all atoms from Tl at (0.0000, 0.0000, 0.0000), Cr at (0.5000, 0.0000, 0.5000) and Ir at (0.3502, 0.5000, 0.7245).

***

Stability check: which of them is most stable? model a.

***

Model a:
Crystalline Tl2CrIr at its relaxed geometry. Source: Alexandria via LeMat-Bulk, functional PBE.

The structure belongs to space group P4/mmm (No. 123); the cell edges are 4.3725, 4.3725 and 4.0386 Å and the angles 90.00°, 90.00° and 90.00°. Symmetry generates all atoms from Tl at (0.0000, 0.5000, 0.0000), Cr at (0.0000, 0.0000, 0.5000) and Ir at (0.5000, 0.5000, 0.5000).

***

Model b:
Crystalline Tl2CrIr at its relaxed geometry. Source: Alexandria via LeMat-Bulk, functional PBE.

The structure belongs to space group Fm-3m (No. 225); the cell edges are 6.7174, 6.7174 and 6.7174 Å and the angles 90.00°, 90.00° and 90.00°. Symmetry generates all atoms from Tl at (0.2500, 0.2500, 0.2500), Cr at (0.0000, 0.0000, 0.0000) and Ir at (0.0000, 0.0000, 0.5000).

***

Stability check: which of them is most stable? model b.

***

Model a:
Crystalline Tl2CrIr at its relaxed geometry. Source: Alexandria via LeMat-Bulk, functional PBE.

The structure belongs to space group R3m (No. 160, hexagonal axes); the cell edges are 3.1665, 3.1665 and 28.1950 Å and the angles 90.00°, 90.00° and 120.00°. Symmetry generates all atoms from Tl at (0.0000, 0.0000, 0.0000), Tl at (0.0000, 0.0000, 0.2308), Cr at (0.0000, 0.0000, 0.7506) and Ir at (0.0000, 0.0000, 0.4784).

***

Model b:
Crystalline Tl2CrIr at its relaxed geometry. Source: Alexandria via LeMat-Bulk, functional PBE.

The structure belongs to space group Imm2 (No. 44); the cell edges are 3.0657, 4.6627 and 11.9400 Å and the angles 90.00°, 90.00° and 90.00°. Symmetry generates all atoms from Tl at (0.0000, 0.0000, 0.0000), Tl at (0.0000, 0.5000, 0.2131), Cr at (0.0000, 0.0000, 0.4020) and Ir at (0.0000, 0.5000, 0.7276).

***

Model c:
Crystalline Tl2CrIr at its relaxed geometry. Source: Alexandria via LeMat-Bulk, functional PBE.

The structure belongs to space group I-4m2 (No. 119); the cell edges are 4.1371, 4.1371 and 9.0957 Å and the angles 90.00°, 90.00° and 90.00°. Symmetry generates all atoms from Tl at (0.0000, 0.0000, 0.0000), Tl at (0.0000, 0.5000, 0.2500), Cr at (0.0000, 0.5000, 0.7500) and Ir at (0.0000, 0.0000, 0.5000).

***

Stability check: which of them is most stable? model b.

***

Model a:
Crystalline Tl2CrIr at its relaxed geometry. Source: Alexandria via LeMat-Bulk, functional PBE.

The structure belongs to space group Pm (No. 6); the cell edges are 4.1786, 4.0876 and 5.4430 Å and the angles 90.00°, 112.43° and 90.00°. Symmetry generates all atoms from Tl at (0.0000, 0.0000, 0.0000), Tl at (0.2928, 0.5000, 0.5883), Cr at (0.7138, 0.0000, 0.4293) and Ir at (0.5814, 0.5000, 0.1638).

***

Model b:
Crystalline Tl2CrIr at its relaxed geometry. Source: Alexandria via LeMat-Bulk, functional PBE.

The structure belongs to space group P4/mmm (No. 123); the cell edges are 3.1874, 3.1874 and 7.7065 Å and the angles 90.00°, 90.00° and 90.00°. Symmetry generates all atoms from Tl at (0.0000, 0.0000, 0.2385), Cr at (0.5000, 0.5000, 0.5000) and Ir at (0.5000, 0.5000, 0.0000).

***

Stability check: which of them is most stable? model a.

***

Model a:
Crystalline Tl2CrIr at its relaxed geometry. Source: Alexandria via LeMat-Bulk, functional PBE.

The structure belongs to space group I-42d (No. 122); the cell edges are 7.6730, 7.6730 and 5.9144 Å and the angles 90.00°, 90.00° and 90.00°. Symmetry generates all atoms from Tl at (0.2340, 0.7500, 0.1250), Cr at (0.0000, 0.0000, 0.5000) and Ir at (0.0000, 0.0000, 0.0000).

***

Model b:
Crystalline Tl2CrIr at its relaxed geometry. Source: Alexandria via LeMat-Bulk, functional PBE.

The structure belongs to space group C2/m (No. 12); the cell edges are 9.1709, 3.2924 and 5.3269 Å and the angles 90.00°, 101.81° and 90.00°. Symmetry generates all atoms from Tl at (0.2464, 0.0000, 0.2446), Cr at (0.0000, 0.0000, 0.5000) and Ir at (0.0000, 0.5000, 0.0000).

***

Model c:
Crystalline Tl2CrIr at its relaxed geometry. Source: Alexandria via LeMat-Bulk, functional PBE.

The structure belongs to space group P2/m (No. 10); the cell edges are 3.1983, 4.6843 and 5.3488 Å and the angles 90.00°, 91.85° and 90.00°. Symmetry generates all atoms from Tl at (0.2345, 0.0000, 0.2523), Cr at (0.5000, 0.5000, 0.0000) and Ir at (0.0000, 0.5000, 0.5000).

***

Model d:
Crystalline Tl2CrIr at its relaxed geometry. Source: Alexandria via LeMat-Bulk, functional PBE.

The structure belongs to space group R-3m (No. 166, hexagonal axes); the cell edges are 3.2613, 3.2613 and 26.2744 Å and the angles 90.00°, 90.00° and 120.00°. Symmetry generates all atoms from Tl at (0.0000, 0.0000, 0.2476), Cr at (0.0000, 0.0000, 0.0000) and Ir at (0.0000, 0.0000, 0.5000).

***

Stability check: which of them is most stable? model b.

***

Model a:
Crystalline Tl2CrIr at its relaxed geometry. Source: Alexandria via LeMat-Bulk, functional PBE.

The structure belongs to space group F-43m (No. 216); the cell edges are 6.8240, 6.8240 and 6.8240 Å and the angles 90.00°, 90.00° and 90.00°. Symmetry generates all atoms from Tl at (0.0000, 0.0000, 0.0000), Tl at (0.2500, 0.2500, 0.2500), Cr at (0.2500, 0.2500, 0.7500) and Ir at (0.0000, 0.0000, 0.5000).

***

Model b:
Crystalline Tl2CrIr at its relaxed geometry. Source: Alexandria via LeMat-Bulk, functional PBE.

The structure belongs to space group I4/mmm (No. 139); the cell edges are 4.4989, 4.4989 and 7.5121 Å and the angles 90.00°, 90.00° and 90.00°. Symmetry generates all atoms from Tl at (0.0000, 0.5000, 0.2500), Cr at (0.0000, 0.0000, 0.0000) and Ir at (0.0000, 0.0000, 0.5000).

***

Model c:
Crystalline Tl2CrIr at its relaxed geometry. Source: Alexandria via LeMat-Bulk, functional PBE.

The structure belongs to space group P4/mmm (No. 123); the cell edges are 3.5246, 3.5246 and 6.2617 Å and the angles 90.00°, 90.00° and 90.00°. Symmetry generates all atoms from Tl at (0.0000, 0.0000, 0.2429), Cr at (0.5000, 0.5000, 0.5000) and Ir at (0.5000, 0.5000, 0.0000).

***

Stability check: which of them is most stable? model b.

***

Model a:
Crystalline VCr3Ir at its relaxed geometry. Source: Alexandria via LeMat-Bulk, functional PBE.

The structure belongs to space group Pm-3m (No. 221); the cell edges are 4.1465, 4.1465 and 4.1465 Å and the angles 90.00°, 90.00° and 90.00°. Symmetry generates all atoms from V at (0.0000, 0.0000, 0.0000), Cr at (0.0000, 0.0000, 0.5000) and Ir at (0.5000, 0.5000, 0.5000).

***

Model b:
Crystalline VCr3Ir at its relaxed geometry. Source: Alexandria via LeMat-Bulk, functional PBE.

The structure belongs to space group Pm-3m (No. 221); the cell edges are 4.7081, 4.7081 and 4.7081 Å and the angles 90.00°, 90.00° and 90.00°. Symmetry generates all atoms from V at (0.0000, 0.0000, 0.0000), Cr at (0.0000, 0.5000, 0.5000) and Ir at (0.5000, 0.5000, 0.5000).

***

Stability check: which of them is most stable? model a.

***

Model a:
Crystalline VCrIr4 at its relaxed geometry. Source: Alexandria via LeMat-Bulk, functional PBE.

The structure belongs to space group Pmma (No. 51); the cell edges are 8.5768, 2.7132 and 7.2519 Å and the angles 90.00°, 90.00° and 90.00°. Symmetry generates all atoms from V at (0.2500, 0.0000, 0.1817), Cr at (0.2500, 0.0000, 0.5178), Ir at (0.0000, 0.0000, 0.0000), Ir at (0.0291, 0.5000, 0.3272) and Ir at (0.2500, 0.5000, 0.8560).

***

Model b:
Crystalline VCrIr4 at its relaxed geometry. Source: Alexandria via LeMat-Bulk, functional PBE.

The structure belongs to space group C2/m (No. 12); the cell edges are 13.6214, 2.6960 and 4.7619 Å and the angles 90.00°, 102.91° and 90.00°. Symmetry generates all atoms from V at (0.0000, 0.0000, 0.0000), Cr at (0.0000, 0.0000, 0.5000), Ir at (0.1494, 0.5000, 0.3572) and Ir at (0.1665, 0.0000, 0.8639).

***

Stability check: which of them is most stable? model a.